A plane-wave DFT calculation with PBEsol was carried out for a relaxed Li10GeP2Se12 crystal.

## Properties
**Energy above the lowest structure with this stoichiometry**: 0.000 eV/f.u.
**Raw formation energy**: -0.813 eV per atom
**Raw total energy**: -4.109 eV/atom
**Total magnetic moment**: 0.00 μB per formula unit
**Calculated volume**: 1094 Å³ per cell

a b c (Å): 8.7344 9.3764 13.3820
angles (deg): 92.97 89.72 89.80
Last column: nearest neighbours and their distance in Å.
Element x y z (fractional)
Se (0.4878, 0.1836, 0.4302)  1 P 2.22
Ge (0.9875, 0.4799, 0.1863)  4 Se 2.36-2.39
P (0.4916, 0.5262, 0.9886)  4 Se 2.21-2.23
Li (0.7600, 0.2204, 0.3589)  4 Se 2.51-2.63
Li (0.2417, 0.7698, 0.0170)  4 Se 2.54-2.64
Se (0.0118, 0.2743, 0.7632)  1 P 2.22
Li (0.4593, 0.5276, 0.7460)  4 Se 2.55-2.84
Ge (0.5080, 0.9919, 0.8218)  4 Se 2.34-2.40
Li (0.2147, 0.8235, 0.7687)  4 Se 2.49-2.57
P (0.0168, 0.4768, 0.6839)  4 Se 2.22-2.23
Se (0.8110, 0.4857, 0.5870)  1 P 2.23
Li (0.4995, 0.9826, 0.0567)  5 Se 2.67-2.83
Se (0.7867, 0.9381, 0.5978)  1 P 2.19
Se (0.9959, 0.2896, 0.0633)  1 Ge 2.37, 3 Li 2.56-2.57
Se (0.4943, 0.6975, 0.1101)  1 P 2.23
Se (0.4873, 0.7984, 0.7004)  1 Ge 2.38, 3 Li 2.51-2.65
Li (0.7151, 0.2659, 0.8805)  4 Se 2.62-2.85
Se (0.0056, 0.7943, 0.3805)  1 P 2.22
Se (0.2769, 0.9961, 0.9183)  1 Ge 2.39, 3 Li 2.57-2.62
Se (0.6997, 0.0232, 0.2177)  1 P 2.23
Li (0.9628, 0.5260, 0.4233)  4 Se 2.60-2.78
Li (0.7285, 0.2725, 0.1401)  4 Se 2.51-2.62
Se (0.2332, 0.4828, 0.5954)  1 P 2.23
Se (0.7261, 0.9962, 0.9233)  1 Ge 2.34, 2 Li 2.55-2.62
Li (0.2780, 0.2657, 0.8772)  5 Se 2.62-2.86
Li (0.7570, 0.7496, 0.2656)  5 Se 2.67-2.88
P (0.9931, 0.9595, 0.5057)  4 Se 2.19-2.24
Li (0.2332, 0.2022, 0.6264)  4 Se 2.61-2.76
Se (0.2048, 0.9267, 0.5955)  1 P 2.24
Se (0.2810, 0.5533, 0.8976)  1 P 2.23
Se (0.7612, 0.4670, 0.2827)  1 Ge 2.36, 3 Li 2.57-2.62
Li (0.5026, 0.9600, 0.5410)  5 Se 2.61-2.72
Se (0.2829, 0.0304, 0.2130)  1 P 2.22
Se (0.9929, 0.1850, 0.4636)  1 P 2.22, 1 Li 2.48
Se (0.5035, 0.2075, 0.7329)  1 Ge 2.40
Li (0.7463, 0.7629, 0.0122)  4 Se 2.55-2.65
Se (0.4929, 0.3039, 0.0364)  1 P 2.21
Li (0.2415, 0.7481, 0.2478)  6 Se 2.69-2.89
Li (0.7626, 0.7196, 0.6918)  4 Se 2.47-2.57
Se (0.9921, 0.6629, 0.7926)  1 P 2.22
Li (0.7852, 0.2099, 0.6334)  4 Se 2.57-2.79
P (0.4876, 0.0115, 0.3096)  4 Se 2.22-2.23
Se (0.6949, 0.5512, 0.8897)  1 P 2.23
Se (0.9906, 0.7079, 0.1136)  1 Ge 2.39, 2 Li 2.60-2.62
Li (0.2211, 0.2237, 0.3580)  4 Se 2.48-2.64
Li (0.2606, 0.2862, 0.1448)  4 Se 2.50-2.62
Li (0.2433, 0.7119, 0.4762)  4 Se 2.52-2.74
Se (0.2057, 0.4732, 0.2911)  1 Ge 2.37, 2 Li 2.55-2.60
Li (0.9881, 0.5090, 0.9556)  5 Se 2.57-2.75
Se (0.4929, 0.7957, 0.3701)  1 P 2.22